# MgCdInCl5

A geometry-optimized MgCdInCl5 structure (PBE, Alexandria via LeMat-Bulk).

Unit cell a=7.382 b=7.382 c=9.509 alpha=102.87 beta=102.87 gamma=106.44
Positions (direct):
Mg  0.000  0.000  0.000
Mg  0.000  0.000  0.500
Cd  0.317  0.683  0.750
Cd  0.683  0.317  0.250
In  0.325  0.675  0.250
In  0.675  0.325  0.750
Cl  0.065  0.935  0.250
Cl  0.086  0.692  0.907
Cl  0.233  0.358  0.555
Cl  0.308  0.914  0.593
Cl  0.358  0.233  0.055
Cl  0.642  0.767  0.945
Cl  0.692  0.086  0.407
Cl  0.767  0.642  0.445
Cl  0.914  0.308  0.093
Cl  0.935  0.065  0.750

Values from the calculation:
The calculation puts the formation energy from raw total energies at -29.5 kcal/mol of atoms.

# Mg2RePb

A geometry-optimized Mg2RePb structure (PBE, Alexandria via LeMat-Bulk).

Unit cell a=8.069 b=8.069 c=5.530 alpha=90.00 beta=90.00 gamma=90.00
Positions (direct):
Mg  0.203  0.750  0.125
Mg  0.250  0.203  0.875
Mg  0.250  0.297  0.375
Mg  0.297  0.750  0.625
Mg  0.703  0.250  0.625
Mg  0.750  0.703  0.375
Mg  0.750  0.797  0.875
Mg  0.797  0.250  0.125
Re  0.000  0.000  0.000
Re  0.000  0.500  0.250
Re  0.500  0.000  0.750
Re  0.500  0.500  0.500
Pb  0.000  0.000  0.500
Pb  0.000  0.500  0.750
Pb  0.500  0.000  0.250
Pb  0.500  0.500  0.000

Values from the calculation:
Its formation energy is 0.81 eV/atom.

# TlTcCl2

A geometry-optimized TlTcCl2 structure (PBE, Alexandria via LeMat-Bulk).

Unit cell a=10.869 b=3.173 c=6.706 alpha=90.00 beta=115.44 gamma=90.00
Positions (direct):
Tl  0.000  0.000  0.000
Tl  0.500  0.500  0.000
Tc  0.265  0.000  0.001
Tc  0.765  0.500  0.001
Cl  0.172  0.500  0.698
Cl  0.334  0.500  0.304
Cl  0.672  0.000  0.698
Cl  0.834  0.000  0.304

Values from the calculation:
The calculation puts the formation energy from raw total energies at -3.8 kcal/mol of atoms.

# MoCSeBr2

A geometry-optimized MoCSeBr2 structure (PBE, Alexandria via LeMat-Bulk).

Unit cell a=4.695 b=4.695 c=4.491 alpha=90.00 beta=90.00 gamma=90.00
Positions (direct):
Mo  0.000  0.000  0.000
C  0.500  0.500  0.500
Se  0.500  0.500  0.000
Br  0.000  0.500  0.500
Br  0.500  0.000  0.500

Values from the calculation:
The calculation puts the formation energy from raw total energies at 35.1 kcal/mol of atoms.

# Ac3AlPd9Au2

A geometry-optimized Ac3AlPd9Au2 structure (PBE, Alexandria via LeMat-Bulk).

Unit cell a=7.873 b=7.873 c=6.548 alpha=90.00 beta=90.00 gamma=120.00
Positions (direct):
Ac  0.000  0.000  0.000
Ac  0.333  0.667  0.681
Ac  0.667  0.333  0.319
Al  0.000  0.000  0.500
Pd  0.000  0.500  0.000
Pd  0.154  0.308  0.334
Pd  0.154  0.846  0.334
Pd  0.308  0.154  0.666
Pd  0.500  0.000  0.000
Pd  0.500  0.500  0.000
Pd  0.692  0.846  0.334
Pd  0.846  0.154  0.666
Pd  0.846  0.692  0.666
Au  0.333  0.667  0.197
Au  0.667  0.333  0.803

Values from the calculation:
Its formation energy is -0.40 eV/atom.

# CrAgBr2

A geometry-optimized CrAgBr2 structure (PBE, Alexandria via LeMat-Bulk).

Unit cell a=3.625 b=3.625 c=28.863 alpha=90.00 beta=90.00 gamma=120.00
Positions (direct):
Cr  0.000  0.000  0.000
Cr  0.333  0.667  0.667
Cr  0.667  0.333  0.333
Ag  0.000  0.000  0.500
Ag  0.333  0.667  0.167
Ag  0.667  0.333  0.833
Br  0.000  0.000  0.388
Br  0.000  0.000  0.612
Br  0.333  0.667  0.055
Br  0.333  0.667  0.278
Br  0.667  0.333  0.722
Br  0.667  0.333  0.945

Values from the calculation:
The calculation puts the formation energy from raw total energies at -2.0 kcal/mol of atoms.

# Cd3H

A geometry-optimized Cd3H structure (PBE, Alexandria via LeMat-Bulk).

Unit cell a=6.693 b=7.121 c=3.236 alpha=90.00 beta=90.00 gamma=90.00
Positions (direct):
Cd  0.000  0.000  0.000
Cd  0.250  0.250  0.500
Cd  0.250  0.750  0.500
Cd  0.500  0.500  0.000
Cd  0.750  0.250  0.500
Cd  0.750  0.750  0.500
H  0.000  0.500  0.500
H  0.500  0.000  0.500

# NaLa2Cu2S4

A geometry-optimized NaLa2Cu2S4 structure (PBE, Alexandria via LeMat-Bulk).

Unit cell a=7.570 b=7.570 c=7.052 alpha=111.21 beta=111.21 gamma=28.92
Positions (direct):
Na  0.000  0.000  0.000
La  0.128  0.128  0.557
La  0.872  0.872  0.443
Cu  0.316  0.316  0.001
Cu  0.684  0.684  0.999
S  0.212  0.212  0.220
S  0.472  0.472  0.262
S  0.528  0.528  0.738
S  0.788  0.788  0.780

Values from the calculation:
The calculation puts the formation energy from raw total energies at -29.6 kcal/mol of atoms.

Number 1: size of the total moment 0.000 μB per formula unit, DFT total energy -49.4 eV for the cell shown. Number 2: size of the total moment 0.773 μB per formula unit, DFT total energy -64.4 eV for the cell shown. Number 3: size of the total moment 1.030 μB per formula unit, DFT total energy -34.2 eV for the cell shown. Number 4: size of the total moment 3.873 μB per formula unit, DFT total energy -19.3 eV for the cell shown. Number 5: size of the total moment 0.000 μB per formula unit, DFT total energy -75.4 eV for the cell shown. Number 6: size of the total moment 3.936 μB per formula unit, DFT total energy -48.5 eV for the cell shown. Number 7: size of the total moment 0.000 μB per formula unit, DFT total energy -10.0 eV for the cell shown. Number 8: size of the total moment 0.000 μB per formula unit, DFT total energy -47.4 eV for the cell shown.